# 1
This record from Alexandria describes crystalline BaSe at its relaxed geometry. The functional is PBE.

a = 12.250 Å, b = 4.328 Å, c = 8.645 Å
α = 90.00°, β = 111.05°, γ = 90.00°
Space group Cm (No. 8)
Inequivalent atoms, fractional coordinates:
Ba  0.000  0.000  0.000 (multiplicity 2)
Ba  0.148  0.000  0.663 (multiplicity 2)
Ba  0.314  0.000  0.304 (multiplicity 2)
Se  0.095  0.500  0.339 (multiplicity 2)
Se  0.241  0.500  0.998 (multiplicity 2)
Se  0.427  0.000  0.695 (multiplicity 2)

# 2
This record from Alexandria describes crystalline BaSe at its relaxed geometry. The functional is PBE.

a = 7.934 Å, b = 7.934 Å, c = 7.934 Å
α = 90.00°, β = 90.00°, γ = 90.00°
Space group Fd-3m (No. 227, origin choice 2)
Inequivalent atoms, fractional coordinates:
Ba  0.125  0.125  0.125 (multiplicity 8)
Se  0.125  0.125  0.625 (multiplicity 8)

# 3
This record from Alexandria describes crystalline BaSe5 at its relaxed geometry. The functional is PBE.

a = 4.247 Å, b = 4.247 Å, c = 10.480 Å
α = 90.00°, β = 90.00°, γ = 90.00°
Space group P4/mmm (No. 123)
Inequivalent atoms, fractional coordinates:
Ba  0.000  0.000  0.000 (multiplicity 1)
Se  0.000  0.000  0.391 (multiplicity 2)
Se  0.500  0.500  0.117 (multiplicity 2)
Se  0.500  0.500  0.500 (multiplicity 1)

Distance to the lowest polymorph of the same formula = 7.50 kcal/mol of atoms

# 4
This record from Alexandria describes crystalline BaSe at its relaxed geometry. The functional is PBE.

a = 12.3764 Å, b = 12.3764 Å, c = 5.4533 Å
α = 90.00°, β = 90.00°, γ = 120.00°
Space group P6_3/m (No. 176)
Inequivalent atoms, fractional coordinates:
Ba  0.0750  0.6675  0.2500 (multiplicity 6)
Se  0.0778  0.4098  0.2500 (multiplicity 6)

# 5
This record from Alexandria describes crystalline BaSe2 at its relaxed geometry. The functional is PBE.

a = 5.4127 Å, b = 5.4127 Å, c = 16.1086 Å
α = 90.00°, β = 90.00°, γ = 120.00°
Space group P6_3/mmc (No. 194)
Inequivalent atoms, fractional coordinates:
Ba  0.3333  0.6667  0.1101 (multiplicity 4)
Se  0.0000  0.0000  0.0000 (multiplicity 2)
Se  0.1664  0.3328  0.7500 (multiplicity 6)

# 6
This record from Alexandria describes crystalline BaSe3 at its relaxed geometry. The functional is PBE.

a = 5.4281 Å, b = 5.4281 Å, c = 6.3017 Å
α = 90.00°, β = 90.00°, γ = 120.00°
Space group P-6m2 (No. 187)
Inequivalent atoms, fractional coordinates:
Ba  0.0000  0.0000  0.0000 (multiplicity 1)
Se  0.0000  0.0000  0.5000 (multiplicity 1)
Se  0.6667  0.3333  0.1887 (multiplicity 2)

# 7
This record from Alexandria describes crystalline BaSe at its relaxed geometry. The functional is PBE.

a = 9.009 Å, b = 9.009 Å, c = 9.009 Å
α = 90.00°, β = 90.00°, γ = 90.00°
Space group Pm-3n (No. 223)
Inequivalent atoms, fractional coordinates:
Ba  0.000  0.250  0.500 (multiplicity 6)
Se  0.000  0.500  0.250 (multiplicity 6)

# 8
This record from Alexandria describes crystalline BaSe3 at its relaxed geometry. The functional is PBE.

a = 7.950 Å, b = 7.495 Å, c = 10.194 Å
α = 90.00°, β = 90.00°, γ = 90.00°
Space group Pnma (No. 62)
Inequivalent atoms, fractional coordinates:
Ba  0.126  0.250  0.096 (multiplicity 4)
Se  0.049  0.250  0.767 (multiplicity 4)
Se  0.213  0.503  0.841 (multiplicity 8)

# 9
This record from Alexandria describes crystalline BaSe2 at its relaxed geometry. The functional is PBE.

a = 4.466 Å, b = 4.466 Å, c = 11.043 Å
α = 90.00°, β = 90.00°, γ = 90.00°
Space group I4/mmm (No. 139)
Inequivalent atoms, fractional coordinates:
Ba  0.000  0.000  0.000 (multiplicity 2)
Se  0.000  0.000  0.390 (multiplicity 4)

# 10
This record from Alexandria describes crystalline Ba2Se at its relaxed geometry. The functional is PBE.

a = 4.6029 Å, b = 4.6029 Å, c = 7.9699 Å
α = 90.00°, β = 90.00°, γ = 120.00°
Space group P-3m1 (No. 164)
Inequivalent atoms, fractional coordinates:
Ba  0.3333  0.6667  0.2435 (multiplicity 2)
Se  0.0000  0.0000  0.0000 (multiplicity 1)

# 11
This record from Alexandria describes crystalline BaSe at its relaxed geometry. The functional is PBE.

a = 13.090 Å, b = 13.090 Å, c = 5.538 Å
α = 90.00°, β = 90.00°, γ = 90.00°
Space group I4/m (No. 87)
Inequivalent atoms, fractional coordinates:
Ba  0.122  0.297  0.000 (multiplicity 8)
Se  0.119  0.708  0.000 (multiplicity 8)

# 12
This record from Alexandria describes crystalline BaSe5 at its relaxed geometry. The functional is PBE.

a = 9.692 Å, b = 5.622 Å, c = 7.330 Å
α = 90.00°, β = 96.06°, γ = 90.00°
Space group Cm (No. 8)
Inequivalent atoms, fractional coordinates:
Ba  0.000  0.000  0.000 (multiplicity 2)
Se  0.004  0.000  0.463 (multiplicity 2)
Se  0.103  0.500  0.807 (multiplicity 2)
Se  0.179  0.500  0.128 (multiplicity 2)
Se  0.244  0.000  0.455 (multiplicity 2)
Se  0.341  0.000  0.780 (multiplicity 2)

Distance to the lowest polymorph of the same formula = 2.12 kcal/mol of atoms

# 13
This record from Alexandria describes crystalline BaSe3 at its relaxed geometry. The functional is PBE.

a = 4.967 Å, b = 5.494 Å, c = 4.510 Å
α = 90.00°, β = 90.00°, γ = 90.00°
Space group Pmm2 (No. 25)
Inequivalent atoms, fractional coordinates:
Ba  0.000  0.000  0.000 (multiplicity 1)
Se  0.000  0.500  0.577 (multiplicity 1)
Se  0.500  0.000  0.479 (multiplicity 1)
Se  0.500  0.500  0.400 (multiplicity 1)

# 14
This record from Alexandria describes crystalline BaSe2 at its relaxed geometry. The functional is PBE.

a = 4.944 Å, b = 4.944 Å, c = 16.457 Å
α = 90.00°, β = 90.00°, γ = 90.00°
Space group I4_1/amd (No. 141, origin choice 2)
Inequivalent atoms, fractional coordinates:
Ba  0.000  0.250  0.375 (multiplicity 4)
Se  0.000  0.250  0.770 (multiplicity 8)

# 15
This record from Alexandria describes crystalline BaSe2 at its relaxed geometry. The functional is PBE.

a = 7.656 Å, b = 7.656 Å, c = 7.656 Å
α = 90.00°, β = 90.00°, γ = 90.00°
Space group Fm-3m (No. 225)
Inequivalent atoms, fractional coordinates:
Ba  0.000  0.000  0.000 (multiplicity 4)
Se  0.250  0.250  0.250 (multiplicity 8)

# 16
This record from Alexandria describes crystalline BaSe2 at its relaxed geometry. The functional is PBE.

a = 5.423 Å, b = 8.415 Å, c = 4.948 Å
α = 90.00°, β = 90.00°, γ = 90.00°
Space group Pnnm (No. 58)
Inequivalent atoms, fractional coordinates:
Ba  0.000  0.000  0.000 (multiplicity 2)
Se  0.136  0.387  0.000 (multiplicity 4)

# 17
This record from Alexandria describes crystalline BaSe2 at its relaxed geometry. The functional is PBE.

a = 4.462 Å, b = 4.462 Å, c = 20.842 Å
α = 90.00°, β = 90.00°, γ = 90.00°
Space group I4_1/amd (No. 141, origin choice 2)
Inequivalent atoms, fractional coordinates:
Ba  0.000  0.250  0.375 (multiplicity 4)
Se  0.000  0.250  0.816 (multiplicity 8)

# 18
This record from Alexandria describes crystalline BaSe at its relaxed geometry. The functional is PBE.

a = 11.117 Å, b = 11.117 Å, c = 6.606 Å
α = 90.00°, β = 90.00°, γ = 90.00°
Space group I4/mcm (No. 140)
Inequivalent atoms, fractional coordinates:
Ba  0.146  0.354  0.000 (multiplicity 8)
Se  0.147  0.353  0.500 (multiplicity 8)

# 19
This record from Alexandria describes crystalline BaSe4 at its relaxed geometry. The functional is PBE.

a = 5.545 Å, b = 5.545 Å, c = 9.605 Å
α = 90.00°, β = 90.00°, γ = 90.00°
Space group I4/mmm (No. 139)
Inequivalent atoms, fractional coordinates:
Ba  0.000  0.000  0.000 (multiplicity 2)
Se  0.000  0.000  0.385 (multiplicity 4)
Se  0.000  0.500  0.250 (multiplicity 4)

Distance to the lowest polymorph of the same formula = 0.00 kcal/mol of atoms

# 20
This record from Alexandria describes crystalline Ba2Se at its relaxed geometry. The functional is PBE.

a = 4.116 Å, b = 4.116 Å, c = 15.300 Å
α = 90.00°, β = 90.00°, γ = 90.00°
Space group I4/mmm (No. 139)
Inequivalent atoms, fractional coordinates:
Ba  0.000  0.000  0.123 (multiplicity 4)
Se  0.000  0.000  0.500 (multiplicity 2)

# 21
This record from Alexandria describes crystalline Ba4Se at its relaxed geometry. The functional is PBE.

a = 10.977 Å, b = 10.977 Å, c = 4.200 Å
α = 90.00°, β = 90.00°, γ = 90.00°
Space group I4/m (No. 87)
Inequivalent atoms, fractional coordinates:
Ba  0.055  0.756  0.000 (multiplicity 8)
Se  0.000  0.000  0.500 (multiplicity 2)

Distance to the lowest polymorph of the same formula = 1.15 kcal/mol of atoms

# 22
This record from Alexandria describes crystalline BaSe2 at its relaxed geometry. The functional is PBE.

a = 4.494 Å, b = 4.494 Å, c = 5.352 Å
α = 75.21°, β = 73.96°, γ = 89.17°
Space group P-1 (No. 2)
Inequivalent atoms, fractional coordinates:
Ba  0.000  0.000  0.000 (multiplicity 1)
Se  0.434  0.443  0.249 (multiplicity 2)

# 23
This record from Alexandria describes crystalline Ba2Se at its relaxed geometry. The functional is PBE.

a = 7.832 Å, b = 7.832 Å, c = 7.995 Å
α = 90.00°, β = 90.00°, γ = 90.00°
Space group I4/mcm (No. 140)
Inequivalent atoms, fractional coordinates:
Ba  0.196  0.304  0.000 (multiplicity 8)
Se  0.000  0.000  0.250 (multiplicity 4)

# 24
This record from Alexandria describes crystalline Ba2Se at its relaxed geometry. The functional is PBE.

a = 4.296 Å, b = 15.301 Å, c = 7.910 Å
α = 90.00°, β = 90.00°, γ = 90.00°
Space group Cmc2_1 (No. 36)
Inequivalent atoms, fractional coordinates:
Ba  0.000  0.013  0.000 (multiplicity 4)
Ba  0.000  0.262  0.135 (multiplicity 4)
Se  0.000  0.391  0.790 (multiplicity 4)

# 25
This record from Alexandria describes crystalline BaSe2 at its relaxed geometry. The functional is PBE.

a = 9.721 Å, b = 5.018 Å, c = 9.474 Å
α = 90.00°, β = 117.25°, γ = 90.00°
Space group C2/c (No. 15)
Inequivalent atoms, fractional coordinates:
Ba  0.000  0.126  0.250 (multiplicity 4)
Se  0.155  0.375  0.026 (multiplicity 8)

# 26
This record from Alexandria describes crystalline Ba6Se7 at its relaxed geometry. The functional is PBE.

a = 6.7626 Å, b = 6.7626 Å, c = 40.2275 Å
α = 90.00°, β = 90.00°, γ = 120.00°
Space group R-3m (No. 166, hexagonal axes)
Inequivalent atoms, fractional coordinates:
Ba  0.0000  0.0000  0.0666 (multiplicity 6)
Ba  0.0000  0.0000  0.2075 (multiplicity 6)
Ba  0.0000  0.0000  0.3330 (multiplicity 6)
Se  0.0000  0.0000  0.5000 (multiplicity 3)
Se  0.0063  0.5031  0.0645 (multiplicity 18)

For reference, formation energy without anion corrections by record: -1.88, -1.03, -0.29, -1.78, -1.16, -0.61, -1.78, -0.98, -1.31, -1.26, -1.77, -0.52, -0.99, -1.19, -0.84, -1.27, -1.34, -1.91, -0.41, -1.16, -0.65, -1.34, -1.18, -1.22, -1.39, -1.16 eV per atom.
For reference, E by record: -4.585, -3.738, -3.514, -4.480, -4.125, -3.705, -4.479, -4.072, -4.276, -3.702, -4.474, -3.747, -4.087, -4.151, -3.799, -4.235, -4.303, -4.615, -3.579, -3.605, -2.882, -4.309, -3.622, -3.667, -4.357, -3.928 eV per atom.
For reference, size of the total moment by record: 0.00, 0.00, 0.00, 0.00, 0.00, 1.08, 0.00, 0.00, 0.00, 0.18, 0.00, 0.00, 0.00, 0.00, 6.72, 0.00, 0.00, 0.00, 0.00, 0.00, 0.00, 0.00, 0.00, 0.00, 0.00, 2.70 μB/cell.